This record from the Alexandria database describes an optimized crystal structure of AgBr2Cl. The functional is GGA-PBE.

a = 7.6189 Å, b = 7.6189 Å, c = 3.8443 Å
α = 90.00°, β = 90.00°, γ = 141.93°
Last column: nearest neighbours and their distance in Å.
Atoms (fractional coordinates):
Cl  0.5000  0.0000  0.5000  2 Ag 2.49
Ag  0.0000  0.5000  0.5000  2 Cl 2.49
Br  0.5000  0.5000  0.0000  2 Br 2.49
Br  0.0000  0.0000  0.0000  2 Br 2.49

Excess energy over the best structure of this formula in the dataset: 172 meV/atom
D(E_F): 0.69 states/eV per atom
Electronic total energy: -8.1 eV/cell
Formation energy from raw total energies: -15.2 meV per atom

This record from the Alexandria database describes an optimized crystal structure of AgBrCl2. The functional is GGA-PBE.

a = 9.7084 Å, b = 9.7084 Å, c = 7.3768 Å
α = 48.85°, β = 48.85°, γ = 90.00°
Last column: nearest neighbours and their distance in Å.
Atoms (fractional coordinates):
Ag  0.0000  0.0000  0.0000  4 Cl 2.55, 2 Br 2.70
Ag  0.7500  0.2500  0.5000  4 Cl 2.55, 2 Br 2.70
Br  0.5000  0.5000  0.0000  2 Ag 2.70
Br  0.2500  0.7500  0.5000  2 Ag 2.70
Cl  0.8327  0.1250  0.2500  2 Ag 2.55
Cl  0.8750  0.0827  0.7500  2 Ag 2.55
Cl  0.3750  0.1673  0.7500  2 Ag 2.55
Cl  0.9173  0.6250  0.2500  2 Ag 2.55

Excess energy over the best structure of this formula in the dataset: 237 meV/atom
D(E_F): 0.83 states/eV per atom
Electronic total energy: -16.3 eV/cell
Formation energy from raw total energies: 11.9 meV per atom

This record from the Alexandria database describes an optimized crystal structure of AgBr2Cl. The functional is GGA-PBE.

a = 7.0314 Å, b = 7.0314 Å, c = 7.0314 Å
α = 154.48°, β = 117.31°, γ = 68.83°
Last column: nearest neighbours and their distance in Å.
Atoms (fractional coordinates):
Cl  0.5844  0.5844  0.0000  2 Ag 2.44
Ag  0.7468  0.2468  0.5000  2 Cl 2.44, 2 Br 2.57
Br  0.2454  0.7454  0.5000  2 Br 3.11
Br  0.9234  0.9234  0.0000  2 Ag 2.57

Excess energy over the best structure of this formula in the dataset: 175 meV/atom
D(E_F): 0.58 states/eV per atom
Electronic total energy: -8.1 eV/cell
Formation energy from raw total energies: -12.5 meV per atom

This record from the Alexandria database describes an optimized crystal structure of Ag5Br2Cl5. The functional is GGA-PBE.

a = 3.8181 Å, b = 6.9214 Å, c = 14.3067 Å
α = 103.32°, β = 70.33°, γ = 71.64°
Last column: nearest neighbours and their distance in Å.
Atoms (fractional coordinates):
Cl  0.5173  0.0800  0.6330  3 Ag 2.55-2.78
Cl  0.0000  0.5000  0.5000  4 Ag 2.62-2.68
Cl  0.5783  0.2022  0.9126  3 Ag 2.62-2.64
Cl  0.4827  0.9200  0.3670  3 Ag 2.55-2.78
Cl  0.4217  0.7978  0.0874  3 Ag 2.62-2.64
Br  0.4277  0.6552  0.8162  3 Ag 2.65-2.73
Br  0.5723  0.3448  0.1838  3 Ag 2.65-2.73
Ag  0.0000  0.0000  0.0000  2 Cl 2.62, 2 Br 2.65
Ag  0.7345  0.1976  0.4430  4 Cl 2.55-2.68
Ag  0.2655  0.8024  0.5570  4 Cl 2.55-2.68
Ag  0.0570  0.3884  0.8421  3 Cl 2.62-2.78, 2 Br 2.68-2.73
Ag  0.9430  0.6116  0.1579  3 Cl 2.62-2.78, 2 Br 2.68-2.73

D(E_F): 0.83 states/eV per atom
Electronic total energy: -31.2 eV/cell
Formation energy from raw total energies: -362.6 meV per atom

This record from the Alexandria database describes an optimized crystal structure of Ag3Br2Cl3. The functional is GGA-PBE.

a = 5.2794 Å, b = 7.3703 Å, c = 15.2059 Å
α = 110.00°, β = 89.99°, γ = 110.99°
Last column: nearest neighbours and their distance in Å.
Atoms (fractional coordinates):
Ag  0.8624  0.7243  0.0315  1 Cl 2.49, 3 Br 2.63-2.67
Ag  0.1289  0.2574  0.9702  1 Cl 2.50, 3 Br 2.64-2.67
Ag  0.1523  0.3049  0.5480  4 Cl 2.40-2.65
Ag  0.8215  0.6436  0.7105  4 Cl 2.45-2.68
Ag  0.8512  0.7023  0.4479  1 Cl 2.45, 3 Br 2.53-2.64
Ag  0.1679  0.3358  0.2901  4 Cl 2.47-2.73, 1 Br 2.67
Cl  0.9363  0.8726  0.8776  2 Ag 2.45-2.50
Cl  0.0542  0.1084  0.1213  2 Ag 2.47-2.49
Cl  0.2873  0.5751  0.7063  3 Ag 2.44-2.68
Cl  0.0341  0.0684  0.3860  1 Ag 2.40
Cl  0.7095  0.4189  0.2931  3 Ag 2.45-2.70
Cl  0.6691  0.3385  0.5554  3 Ag 2.52-2.65
Br  0.3349  0.6693  0.0326  3 Ag 2.64-2.67
Br  0.6574  0.3144  0.9682  3 Ag 2.63-2.67
Br  0.9734  0.9471  0.6191  1 Ag 2.53
Br  0.3395  0.6789  0.4467  3 Ag 2.64-2.67

D(E_F): 0.53 states/eV per atom
Electronic total energy: -40.0 eV/cell
Formation energy from raw total energies: -318.7 meV per atom

This record from the Alexandria database describes an optimized crystal structure of AgBr2Cl. The functional is GGA-PBE.

a = 7.8564 Å, b = 7.8564 Å, c = 4.2019 Å
α = 79.39°, β = 79.39°, γ = 142.73°
Last column: nearest neighbours and their distance in Å.
Atoms (fractional coordinates):
Ag  0.0000  0.5000  0.5000  2 Cl 2.51
Br  0.0000  0.0000  0.0000  2 Br 2.51
Br  0.5000  0.5000  0.0000  2 Br 2.51
Cl  0.5000  0.0000  0.5000  2 Ag 2.51

Excess energy over the best structure of this formula in the dataset: 129 meV/atom
D(E_F): 0.48 states/eV per atom
Electronic total energy: -8.3 eV/cell
Formation energy from raw total energies: -58.9 meV per atom

This record from the Alexandria database describes an optimized crystal structure of AgBrCl2. The functional is GGA-PBE.

a = 9.2537 Å, b = 9.2537 Å, c = 7.6086 Å
α = 26.82°, β = 26.82°, γ = 25.70°
Last column: nearest neighbours and their distance in Å.
Atoms (fractional coordinates):
Cl  0.3805  0.3805  0.6725  1 Br 2.43
Cl  0.1195  0.1195  0.8275  1 Br 2.43
Ag  0.7500  0.7500  0.7500  6 Cl 2.75-2.84
Br  0.2500  0.2500  0.2500  2 Cl 2.43

Excess energy over the best structure of this formula in the dataset: 1 meV/atom
Electronic total energy: -9.1 eV/cell
Formation energy from raw total energies: -224.5 meV per atom

This record from the Alexandria database describes an optimized crystal structure of AgBrCl2. The functional is GGA-PBE.

a = 6.0633 Å, b = 5.5265 Å, c = 15.3599 Å
α = 90.00°, β = 90.00°, γ = 90.00°
Last column: nearest neighbours and their distance in Å.
Atoms (fractional coordinates):
Ag  0.5398  0.4328  0.6566  3 Cl 2.57-2.65, 1 Br 2.77
Ag  0.9602  0.9328  0.1566  3 Cl 2.57-2.65, 1 Br 2.77
Ag  0.4602  0.9328  0.3434  3 Cl 2.57-2.65, 1 Br 2.77
Ag  0.0398  0.4328  0.8434  3 Cl 2.57-2.65, 1 Br 2.77
Cl  0.8829  0.9222  0.3264  1 Br 2.53, 2 Ag 2.58-2.65
Cl  0.6231  0.7976  0.5583  1 Br 2.37, 1 Ag 2.57
Cl  0.8769  0.2976  0.0583  1 Br 2.37, 1 Ag 2.57
Cl  0.6171  0.4222  0.8264  1 Br 2.53, 2 Ag 2.58-2.65
Cl  0.3829  0.9222  0.1736  1 Br 2.53, 2 Ag 2.58-2.65
Cl  0.1231  0.7976  0.9417  1 Br 2.37, 1 Ag 2.57
Cl  0.1171  0.4222  0.6736  1 Br 2.53, 2 Ag 2.58-2.65
Cl  0.3769  0.2976  0.4417  1 Br 2.37, 1 Ag 2.57
Br  0.3633  0.0976  0.8854  2 Cl 2.37-2.53
Br  0.1367  0.5976  0.3854  2 Cl 2.37-2.53
Br  0.8633  0.0976  0.6146  2 Cl 2.37-2.53
Br  0.6367  0.5976  0.1146  2 Cl 2.37-2.53

Excess energy over the best structure of this formula in the dataset: 5 meV/atom
D(E_F): 0.00 states/eV per atom
Electronic total energy: -36.4 eV/cell
Formation energy from raw total energies: -219.8 meV per atom

This record from the Alexandria database describes an optimized crystal structure of AgBr4Cl. The functional is GGA-PBE.

a = 8.6065 Å, b = 6.3716 Å, c = 9.2142 Å
α = 104.89°, β = 110.67°, γ = 99.28°
Last column: nearest neighbours and their distance in Å.
Atoms (fractional coordinates):
Cl  0.8175  0.6244  0.4543  2 Br 2.44-2.67
Cl  0.1825  0.3756  0.5457  2 Br 2.44-2.67
Br  0.1582  0.3358  0.2676  1 Cl 2.44, 1 Br 2.57
Br  0.8442  0.6980  0.0170  1 Br 2.57, 1 Ag 2.72
Br  0.4200  0.8134  0.1580  1 Br 2.47, 1 Ag 2.73
Br  0.3804  0.8018  0.7000  1 Br 2.47, 1 Cl 2.67
Br  0.8418  0.6642  0.7324  1 Cl 2.44, 1 Br 2.57
Br  0.6195  0.1982  0.3000  1 Br 2.47, 1 Cl 2.67
Br  0.1558  0.3020  0.9830  1 Br 2.57, 1 Ag 2.72
Br  0.5800  0.1866  0.8420  1 Br 2.47, 1 Ag 2.73
Ag  0.8067  0.1210  0.1094  4 Br 2.72-2.78
Ag  0.1932  0.8790  0.8906  4 Br 2.72-2.78

Excess energy over the best structure of this formula in the dataset: 0 meV/atom
D(E_F): 0.00 states/eV per atom
Electronic total energy: -23.9 eV/cell
Formation energy from raw total energies: -96.6 meV per atom

This record from the Alexandria database describes an optimized crystal structure of AgBr3Cl. The functional is GGA-PBE.

a = 8.6350 Å, b = 8.8210 Å, c = 5.3091 Å
α = 120.67°, β = 70.70°, γ = 102.84°
Last column: nearest neighbours and their distance in Å.
Atoms (fractional coordinates):
Br  0.8299  0.2468  0.0191  2 Br 2.62-2.71, 1 Ag 2.83
Br  0.6643  0.7720  0.0118  2 Cl 2.56-2.76, 1 Ag 2.79
Br  0.3289  0.2398  0.0162  2 Cl 2.56-2.76, 1 Ag 2.75
Br  0.1453  0.7346  0.4643  2 Br 2.62-2.71, 1 Ag 2.71
Br  0.8529  0.2697  0.5340  2 Br 2.62-2.71, 1 Ag 2.71
Br  0.1704  0.7535  0.9750  2 Br 2.62-2.71, 1 Ag 2.81
Cl  0.3495  0.2311  0.5168  2 Br 2.56-2.76, 1 Ag 2.61
Cl  0.6585  0.7525  0.4801  2 Br 2.56-2.76, 1 Ag 2.58
Ag  0.5046  0.0022  0.9804  2 Cl 2.58-2.61, 2 Br 2.75-2.79
Ag  0.9957  0.9977  0.0023  4 Br 2.71-2.83

Excess energy over the best structure of this formula in the dataset: 0 meV/atom
D(E_F): 0.33 states/eV per atom
Electronic total energy: -20.1 eV/cell
Formation energy from raw total energies: -68.7 meV per atom

This record from the Alexandria database describes an optimized crystal structure of AgBr2Cl. The functional is GGA-PBE.

a = 10.3936 Å, b = 10.3936 Å, c = 7.7440 Å
α = 47.85°, β = 47.85°, γ = 90.00°
Last column: nearest neighbours and their distance in Å.
Atoms (fractional coordinates):
Br  0.3750  0.3393  0.7500  2 Br 2.55
Br  0.8750  0.9107  0.7500  2 Br 2.55
Br  0.0893  0.6250  0.2500  2 Br 2.55
Br  0.6607  0.1250  0.2500  2 Br 2.55
Ag  0.0000  0.0000  0.0000  2 Cl 2.44
Ag  0.7500  0.2500  0.5000  2 Cl 2.44
Cl  0.2500  0.7500  0.5000  2 Ag 2.44
Cl  0.5000  0.5000  0.0000  2 Ag 2.44

Excess energy over the best structure of this formula in the dataset: 92 meV/atom
D(E_F): 0.00 states/eV per atom
Electronic total energy: -16.9 eV/cell
Formation energy from raw total energies: -95.6 meV per atom

This record from the Alexandria database describes an optimized crystal structure of AgBr2Cl. The functional is GGA-PBE.

a = 4.5359 Å, b = 5.9967 Å, c = 6.0006 Å
α = 48.41°, β = 90.00°, γ = 90.00°
Last column: nearest neighbours and their distance in Å.
Atoms (fractional coordinates):
Br  0.0000  0.9663  0.9665  2 Br 2.57
Br  0.0000  0.5337  0.5335  2 Br 2.57
Ag  0.5000  0.7500  0.7500  2 Cl 2.46
Cl  0.5000  0.2500  0.2500  2 Ag 2.46

Excess energy over the best structure of this formula in the dataset: 77 meV/atom
D(E_F): 0.54 states/eV per atom
Electronic total energy: -8.5 eV/cell
Formation energy from raw total energies: -110.7 meV per atom